# 1
# SrLaSnHg

SrLaSnHg after structural relaxation (GGA-PBE, Alexandria via LeMat-Bulk).

Values from the calculation:
**E_form**: -0.61 eV/atom

Lattice parameters (Å, degrees): 5.624 5.624 5.624 60.00 60.00 60.00
Fractional coordinates of all 4 atoms:
Sr 0.000 0.000 0.000
La 0.500 0.500 0.500
Sn 0.250 0.250 0.250
Hg 0.750 0.750 0.750

# 2
# Lu2NpS

Lu2NpS after structural relaxation (GGA-PBE, Alexandria via LeMat-Bulk).

Values from the calculation:
**ΔE_f (raw)**: -377 meV/atom

Lattice parameters (Å, degrees): 10.189 10.189 10.189 19.61 19.61 19.61
Fractional coordinates of all 4 atoms:
Lu 0.110 0.110 0.110
Lu 0.890 0.890 0.890
Np 0.000 0.000 0.000
S 0.500 0.500 0.500

# 3
# Zn10Pt6Au

Zn10Pt6Au after structural relaxation (GGA-PBE, Alexandria via LeMat-Bulk).

Values from the calculation:
**E_form**: -0.40 eV/atom

Lattice parameters (Å, degrees): 7.592 7.592 5.234 90.00 90.00 120.00
Fractional coordinates of all 17 atoms:
Zn 0.000 0.290 0.311
Zn 0.000 0.710 0.689
Zn 0.290 0.000 0.311
Zn 0.290 0.290 0.689
Zn 0.333 0.667 0.000
Zn 0.333 0.667 0.500
Zn 0.667 0.333 0.000
Zn 0.667 0.333 0.500
Zn 0.710 0.000 0.689
Zn 0.710 0.710 0.311
Pt 0.000 0.368 0.795
Pt 0.000 0.632 0.205
Pt 0.368 0.000 0.795
Pt 0.368 0.368 0.205
Pt 0.632 0.000 0.205
Pt 0.632 0.632 0.795
Au 0.000 0.000 0.000

# 4
# YMgZn10

YMgZn10 after structural relaxation (GGA-PBE, Alexandria via LeMat-Bulk).

Values from the calculation:
**E_form**: -0.16 eV/atom

Lattice parameters (Å, degrees): 4.267 5.213 9.141 90.00 90.00 90.00
Fractional coordinates of all 12 atoms:
Y 0.000 0.000 0.000
Mg 0.000 0.500 0.500
Zn 0.000 0.000 0.343
Zn 0.000 0.000 0.657
Zn 0.000 0.500 0.182
Zn 0.000 0.500 0.818
Zn 0.500 0.000 0.500
Zn 0.500 0.244 0.242
Zn 0.500 0.244 0.758
Zn 0.500 0.500 0.000
Zn 0.500 0.756 0.242
Zn 0.500 0.756 0.758

# 5
# TiSe2S2

TiSe2S2 after structural relaxation (GGA-PBE, Alexandria via LeMat-Bulk).

Values from the calculation:
**ΔE_f (raw)**: -124 meV/atom

Lattice parameters (Å, degrees): 9.245 9.245 9.245 157.70 157.70 31.74
Fractional coordinates of all 5 atoms:
Ti 0.000 0.000 0.000
Se 0.250 0.750 0.500
Se 0.750 0.250 0.500
S 0.439 0.439 0.000
S 0.561 0.561 0.000